MgGa2Os2 | meta-GGA SCAN | single point on PBEsol structure

Cell: 4.1134 4.1134 10.3472 Å, 90.00 90.00 90.00°
Element x y z (fractional)
Mg  0.0000  0.0000  0.0000
Mg  0.5000  0.5000  0.5000
Ga  0.0000  0.5000  0.2500
Ga  0.0000  0.5000  0.7500
Ga  0.5000  0.0000  0.2500
Ga  0.5000  0.0000  0.7500
Os  0.0000  0.0000  0.3866
Os  0.0000  0.0000  0.6134
Os  0.5000  0.5000  0.1134
Os  0.5000  0.5000  0.8866

Output
Space group: No. 139
Calculated formation energy (eV per formula unit): 0.8